First-principles (PBEsol) data for an optimized crystal structure of TlAgRu2, as listed in Alexandria via LeMat-Bulk.

Offset from the most stable computed form, kJ/mol of formula units: 56.7
Density of states at the Fermi level, states/eV per atom: 1.409
Theoretical density, kg/m³: 13240
Spin magnetization, μB/atom: 0.43

a = 5.5930 Å, b = 7.9236 Å, c = 2.9114 Å
α = 90.00°, β = 90.00°, γ = 90.00°
With the nearest neighbours (Å) after each atom.
Space group Cmmm (No. 65)
Unique sites:
Tl  0.0000  0.0000  0.0000 x2  2 Ag 2.80, 8 Ru 2.83, 2 Tl 2.91
Ag  0.0000  0.5000  0.0000 x2  2 Tl 2.80, 8 Ru 2.83, 2 Ag 2.91
Ru  0.2500  0.2500  0.5000 x4  4 Ru 2.80-2.91, 4 Tl 2.83, 4 Ag 2.83